*one*
# ZnSi3H, relaxed, DFT PBE
# Density, g/cm3: 2.45
data_ZnSi3H
_chemical_formula_sum 'Zn1 Si3 H1'
_space_group_name_H-M_alt 'P m -3 m'
_space_group_IT_number 221
_space_group_name_Hall '-P 4 2 3'
_cell_length_a 4.673
_cell_length_b 4.673
_cell_length_c 4.673
_cell_angle_alpha 90.00
_cell_angle_beta 90.00
_cell_angle_gamma 90.00
loop_
_atom_site_label
_atom_site_fract_x
_atom_site_fract_y
_atom_site_fract_z
_atom_site_occupancy
Zn1 0.000 0.000 0.000 1
Si1 0.000 0.000 0.500 1
H1 0.500 0.500 0.500 1

---

*two*
# ZnSi3H, relaxed, DFT PBE
# Density, g/cm3: 3.91
data_ZnSi3H
_chemical_formula_sum 'Zn1 Si3 H1'
_space_group_name_H-M_alt 'P m -3 m'
_space_group_IT_number 221
_space_group_name_Hall '-P 4 2 3'
_cell_length_a 3.999
_cell_length_b 3.999
_cell_length_c 3.999
_cell_angle_alpha 90.00
_cell_angle_beta 90.00
_cell_angle_gamma 90.00
loop_
_atom_site_label
_atom_site_fract_x
_atom_site_fract_y
_atom_site_fract_z
_atom_site_occupancy
Zn1 0.000 0.000 0.000 1
Si1 0.000 0.500 0.500 1
H1 0.500 0.500 0.500 1

---

Short version: *two*, *one*, most stable first.

---

*one*
# ZrSiH2, relaxed, DFT PBE
# Density, g/cm3: 4.87
data_ZrSiH2
_chemical_formula_sum 'Zr4 Si4 H8'
_space_group_name_H-M_alt 'F m -3 m'
_space_group_IT_number 225
_space_group_name_Hall '-F 4 2 3'
_cell_length_a 5.490
_cell_length_b 5.490
_cell_length_c 5.490
_cell_angle_alpha 90.00
_cell_angle_beta 90.00
_cell_angle_gamma 90.00
loop_
_atom_site_label
_atom_site_fract_x
_atom_site_fract_y
_atom_site_fract_z
_atom_site_occupancy
Zr1 0.000 0.000 0.000 1
Si1 0.000 0.000 0.500 1
H1 0.250 0.250 0.250 1

---

*two*
# ZrSiH2, relaxed, DFT PBE
# Density, g/cm3: 4.49
data_ZrSiH2
_chemical_formula_sum 'Zr4 Si4 H8'
_space_group_name_H-M_alt 'I -4 2 d'
_space_group_IT_number 122
_space_group_name_Hall 'I -4 2bw'
_cell_length_a 3.834
_cell_length_b 3.834
_cell_length_c 12.220
_cell_angle_alpha 90.00
_cell_angle_beta 90.00
_cell_angle_gamma 90.00
loop_
_atom_site_label
_atom_site_fract_x
_atom_site_fract_y
_atom_site_fract_z
_atom_site_occupancy
Zr1 0.000 0.000 0.000 1
Si1 0.000 0.000 0.500 1
H1 0.234 0.250 0.125 1

---

Short version: *two*, *one*, most stable first.

---

*one*
# ZrSi2H, relaxed, DFT PBE
# Density, g/cm3: 3.95
data_ZrSi2H
_chemical_formula_sum 'Zr4 Si8 H4'
_space_group_name_H-M_alt 'F m -3 m'
_space_group_IT_number 225
_space_group_name_Hall '-F 4 2 3'
_cell_length_a 6.296
_cell_length_b 6.296
_cell_length_c 6.296
_cell_angle_alpha 90.00
_cell_angle_beta 90.00
_cell_angle_gamma 90.00
loop_
_atom_site_label
_atom_site_fract_x
_atom_site_fract_y
_atom_site_fract_z
_atom_site_occupancy
Zr1 0.000 0.000 0.000 1
Si1 0.250 0.250 0.250 1
H1 0.000 0.000 0.500 1

---

*two*
# ZrSi2H, relaxed, DFT PBE
# Density, g/cm3: 4.30
data_ZrSi2H
_chemical_formula_sum 'Zr4 Si8 H4'
_space_group_name_H-M_alt 'I 41/a m d'
_space_group_IT_number 141
_cell_length_a 4.808
_cell_length_b 4.808
_cell_length_c 9.915
_cell_angle_alpha 90.00
_cell_angle_beta 90.00
_cell_angle_gamma 90.00
loop_
_space_group_symop_operation_xyz
'x,y,z'
'-x,-y,-z'
'-y+1/4,x+3/4,z+1/4'
'y+1/4,-x+3/4,-z+1/4'
'-x+1/2,-y,z+1/2'
'x+1/2,y,-z+1/2'
'y+1/4,-x+1/4,z+3/4'
'-y+1/4,x+1/4,-z+3/4'
'x,-y,-z'
'-x,y,z'
'-y+1/4,-x+1/4,-z+3/4'
'y+1/4,x+1/4,z+3/4'
'-x+1/2,y,-z+1/2'
'x+1/2,-y,z+1/2'
'y+1/4,x+3/4,-z+1/4'
'-y+1/4,-x+3/4,z+1/4'
'x+1/2,y+1/2,z+1/2'
'-x+1/2,-y+1/2,-z+1/2'
'-y+3/4,x+1/4,z+3/4'
'y+3/4,-x+1/4,-z+3/4'
'-x,-y+1/2,z'
'x,y+1/2,-z'
'y+3/4,-x+3/4,z+1/4'
'-y+3/4,x+3/4,-z+1/4'
'x+1/2,-y+1/2,-z+1/2'
'-x+1/2,y+1/2,z+1/2'
'-y+3/4,-x+3/4,-z+1/4'
'y+3/4,x+3/4,z+1/4'
'-x,y+1/2,-z'
'x,-y+1/2,z'
'y+3/4,x+1/4,-z+3/4'
'-y+3/4,-x+1/4,z+3/4'
loop_
_atom_site_label
_atom_site_fract_x
_atom_site_fract_y
_atom_site_fract_z
_atom_site_occupancy
Zr1 0.000 0.250 0.375 1
Si1 0.000 0.000 0.000 1
H1 0.000 0.250 0.875 1

---

Short version: *two*, *one*, most stable first.

---

*one*
# Zr2SiH, relaxed, DFT PBE
# Density, g/cm3: 5.50
data_Zr2SiH
_chemical_formula_sum 'Zr8 Si4 H4'
_space_group_name_H-M_alt 'P 1 2/c 1'
_space_group_IT_number 13
_cell_length_a 5.306
_cell_length_b 5.390
_cell_length_c 9.931
_cell_angle_alpha 90.00
_cell_angle_beta 116.00
_cell_angle_gamma 90.00
loop_
_space_group_symop_operation_xyz
'x,y,z'
'-x,-y,-z'
'-x,y,-z+1/2'
'x,-y,z+1/2'
loop_
_atom_site_label
_atom_site_fract_x
_atom_site_fract_y
_atom_site_fract_z
_atom_site_occupancy
Zr1 0.005 0.248 0.423 1
Zr2 0.325 0.250 0.851 1
Si1 0.440 0.246 0.352 1
H1 0.027 0.370 0.629 1

---

*two*
# Zr2SiH, relaxed, DFT PBE
# Density, g/cm3: 4.34
data_Zr2SiH
_chemical_formula_sum 'Zr6 Si3 H3'
_space_group_name_H-M_alt 'R -3 m'
_space_group_IT_number 166
_space_group_name_Hall '-R 3 2"'
_cell_length_a 3.7031
_cell_length_b 3.7031
_cell_length_c 20.4513
_cell_angle_alpha 90.00
_cell_angle_beta 90.00
_cell_angle_gamma 120.00
loop_
_atom_site_label
_atom_site_fract_x
_atom_site_fract_y
_atom_site_fract_z
_atom_site_occupancy
Zr1 0.0000 0.0000 0.0920 1
Si1 0.0000 0.0000 0.5000 1
H1 0.0000 0.0000 0.0000 1

---

*three*
# Zr2SiH, relaxed, DFT PBE
# Density, g/cm3: 5.42
data_Zr2SiH
_chemical_formula_sum 'Zr8 Si4 H4'
_space_group_name_H-M_alt 'F m -3 m'
_space_group_IT_number 225
_space_group_name_Hall '-F 4 2 3'
_cell_length_a 6.377
_cell_length_b 6.377
_cell_length_c 6.377
_cell_angle_alpha 90.00
_cell_angle_beta 90.00
_cell_angle_gamma 90.00
loop_
_atom_site_label
_atom_site_fract_x
_atom_site_fract_y
_atom_site_fract_z
_atom_site_occupancy
Zr1 0.250 0.250 0.250 1
Si1 0.000 0.000 0.000 1
H1 0.000 0.000 0.500 1

---

*four*
# Zr2SiH, relaxed, DFT PBE
# Density, g/cm3: 5.55
data_Zr2SiH
_chemical_formula_sum 'Zr8 Si4 H4'
_space_group_name_H-M_alt 'I -4 2 d'
_space_group_IT_number 122
_space_group_name_Hall 'I -4 2bw'
_cell_length_a 6.375
_cell_length_b 6.375
_cell_length_c 6.230
_cell_angle_alpha 90.00
_cell_angle_beta 90.00
_cell_angle_gamma 90.00
loop_
_atom_site_label
_atom_site_fract_x
_atom_site_fract_y
_atom_site_fract_z
_atom_site_occupancy
Zr1 0.178 0.750 0.125 1
Si1 0.000 0.000 0.500 1
H1 0.000 0.000 0.000 1

---

Short version: *four*, *one*, *three*, *two*, most stable first.